# 1
Density functional theory data (meta-GGA SCAN) for LiCo2Cu at its PBEsol-relaxed geometry.

Unit cell a=2.4253 b=4.2162 c=4.4081 alpha=108.48 beta=90.00 gamma=90.00
Each line ends with the local moment (μB).
Sites, in units of the cell vectors:
Cu  0.5000  0.0000  0.5000  0.00
Co  0.0000  0.0000  0.0000  1.73
Co  0.5000  0.5000  0.0000  1.77
Li  0.0000  0.5000  0.5000  -0.03

energy: -12.940 eV/atom
ΔH_f (0 K): 42 kJ/mol of formula units

---

# 2
Density functional theory data (meta-GGA SCAN) for ReSbMo2 at its PBEsol-relaxed geometry.

Unit cell a=3.2052 b=4.3438 c=4.6356 alpha=90.00 beta=90.00 gamma=90.00
Sites, in units of the cell vectors:
Re  0.5000  0.5000  0.0000
Mo  0.5000  0.0000  0.5000
Sb  0.0000  0.5000  0.5000
Mo  0.0000  0.0000  0.0000

energy: -44.175 eV/atom
formation energy without anion corrections: 1.4 eV per formula unit

---

# 3
Density functional theory data (meta-GGA SCAN) for TlNiS2N at its PBEsol-relaxed geometry.

Unit cell a=4.1081 b=5.0862 c=5.0862 alpha=90.00 beta=90.00 gamma=90.00
Each line ends with the local moment (μB).
Sites, in units of the cell vectors:
Tl  0.0000  0.0000  0.0000  0.00
N  0.5000  0.0000  0.0000  1.19
Ni  0.5000  0.5000  0.5000  1.32
S  0.0000  0.5000  0.0000  0.32
S  0.0000  0.0000  0.5000  0.32

energy: -21.779 eV/atom
formation energy without anion corrections: 8.2 eV per formula unit

---

# 4
Density functional theory data (meta-GGA SCAN) for Zr2ReNi at its PBEsol-relaxed geometry.

Unit cell a=3.2972 b=4.4874 c=5.3266 alpha=114.70 beta=108.03 gamma=90.00
Sites, in units of the cell vectors:
Zr  0.7595  0.2594  0.5191
Re  0.2393  0.7387  0.4787
Ni  0.5152  0.5165  0.0304
Zr  0.9859  0.9854  0.9719

energy: -37.301 eV/atom
ΔH_f (0 K): -52 kJ/mol of formula units

---

# 5
Density functional theory data (meta-GGA SCAN) for InBi3Se at its PBEsol-relaxed geometry.

Unit cell a=5.5281 b=5.5281 c=5.5281 alpha=90.00 beta=90.00 gamma=90.00
Sites, in units of the cell vectors:
Bi  0.0000  0.0000  0.5000
Se  0.0000  0.0000  0.0000
Bi  0.5000  0.0000  0.0000
Bi  0.0000  0.5000  0.0000
In  0.5000  0.5000  0.5000

energy: -57.259 eV/atom
formation energy without anion corrections: 2.9 eV per formula unit

---

# 6
Density functional theory data (meta-GGA SCAN) for As3IrC at its PBEsol-relaxed geometry.

Unit cell a=4.7309 b=4.7309 c=4.7309 alpha=90.00 beta=90.00 gamma=90.00
Each line ends with the local moment (μB).
Sites, in units of the cell vectors:
As  0.5000  0.0000  0.0000  -0.25
As  0.0000  0.0000  0.5000  -0.25
Ir  0.0000  0.0000  0.0000  -0.35
C  0.5000  0.5000  0.5000  0.79
As  0.0000  0.5000  0.0000  -0.25

energy: -26.473 eV/atom
ΔH_f (0 K): 908 kJ/mol of formula units

---

# 7
Density functional theory data (meta-GGA SCAN) for Ba2ZrRe at its PBEsol-relaxed geometry.

Unit cell a=4.3087 b=4.3087 c=6.3822 alpha=109.73 beta=109.73 gamma=90.00
Sites, in units of the cell vectors:
Ba  0.2500  0.7500  0.5000
Ba  0.7500  0.2500  0.5000
Zr  0.0000  0.0000  0.0000
Re  0.5000  0.5000  0.0000

energy: -44.067 eV/atom
offset from the most stable computed form: 510 meV/atom
ΔH_f (0 K): 446 kJ/mol of formula units

---

# 8
Density functional theory data (meta-GGA SCAN) for BaSrSi2 at its PBEsol-relaxed geometry.

Unit cell a=4.0420 b=4.8506 c=6.3487 alpha=112.46 beta=90.00 gamma=90.00
Sites, in units of the cell vectors:
Sr  0.0000  0.1134  0.2268
Ba  0.5000  0.3934  0.7867
Si  0.0000  0.8064  0.6129
Si  0.5000  0.6857  0.3713

energy: -20.935 eV/atom
formation energy without anion corrections: -1.9 eV per formula unit
offset from the most stable computed form: 0 meV/atom

---

# 9
Density functional theory data (meta-GGA SCAN) for ZnSi2N at its PBEsol-relaxed geometry.

Unit cell a=4.8395 b=4.8395 c=5.9603 alpha=113.95 beta=113.95 gamma=90.00
Sites, in units of the cell vectors:
Si  0.4602  0.8750  0.2500
Si  0.1250  0.2102  0.7500
Si  0.6250  0.5398  0.7500
Zn  0.0000  0.0000  0.0000
Si  0.7898  0.3750  0.2500
Zn  0.2500  0.7500  0.5000
N  0.5000  0.5000  0.0000
N  0.7500  0.2500  0.5000

energy: -10.544 eV/atom
formation energy without anion corrections: 0.7 eV per formula unit

---

# 10
Density functional theory data (meta-GGA SCAN) for CsAsCl2 at its PBEsol-relaxed geometry.

Unit cell a=4.7714 b=4.7714 c=6.3027 alpha=67.76 beta=67.76 gamma=60.00
Sites, in units of the cell vectors:
Cl  0.7927  0.7927  0.6220
Cs  0.0000  0.0000  0.0000
As  0.5000  0.5000  0.5000
Cl  0.2073  0.2073  0.3780

energy: -19.213 eV/atom
formation energy without anion corrections: -2.9 eV per formula unit

---

# 11
Density functional theory data (meta-GGA SCAN) for BaCuRe at its PBEsol-relaxed geometry.

Unit cell a=2.9957 b=2.9957 c=7.6611 alpha=90.00 beta=90.00 gamma=120.00
Sites, in units of the cell vectors:
Cu  0.6667  0.3333  0.6235
Re  0.3333  0.6667  0.3763
Ba  0.0000  0.0000  0.0002

energy: -40.551 eV/atom
offset from the most stable computed form: 471 meV/atom
ΔH_f (0 K): 405 kJ/mol of formula units

---

# 12
Density functional theory data (meta-GGA SCAN) for ZrHg4Te at its PBEsol-relaxed geometry.

Unit cell a=5.8046 b=5.8046 c=5.8046 alpha=60.00 beta=60.00 gamma=60.00
Each line ends with the local moment (μB).
Sites, in units of the cell vectors:
Hg  0.3746  0.3746  0.8761  0.01
Hg  0.3746  0.8761  0.3746  0.01
Hg  0.3746  0.3746  0.3746  0.01
Zr  0.0000  0.0000  0.0000  0.91
Hg  0.8761  0.3746  0.3746  0.01
Te  0.7500  0.7500  0.7500  -0.12

energy: -56.523 eV/atom
formation energy without anion corrections: 1.5 eV per formula unit

---

# 13
Density functional theory data (meta-GGA SCAN) for LaNiPdW2 at its PBEsol-relaxed geometry.

Unit cell a=4.5027 b=4.5027 c=4.8057 alpha=90.00 beta=90.00 gamma=90.00
Sites, in units of the cell vectors:
Pd  0.0000  0.0000  0.5000
W  0.5000  0.0000  0.0000
W  0.0000  0.5000  0.0000
Ni  0.0000  0.0000  0.0000
La  0.5000  0.5000  0.5000

energy: -45.355 eV/atom
ΔH_f (0 K): 449 kJ/mol of formula units

---

# 14
Density functional theory data (meta-GGA SCAN) for KHSe2 at its PBEsol-relaxed geometry.

Unit cell a=3.4117 b=3.4117 c=8.6496 alpha=78.63 beta=78.63 gamma=60.00
Sites, in units of the cell vectors:
H  0.0000  0.0000  0.0000
K  0.5000  0.5000  0.5000
Se  0.0690  0.0690  0.7932
Se  0.9310  0.9310  0.2068

energy: -12.961 eV/atom
offset from the most stable computed form: 0 meV/atom

---

# 15
Density functional theory data (meta-GGA SCAN) for CrCdIr3 at its PBEsol-relaxed geometry.

Unit cell a=4.7586 b=4.7586 c=4.7586 alpha=90.00 beta=90.00 gamma=90.00
Each line ends with the local moment (μB).
Sites, in units of the cell vectors:
Cd  0.0000  0.0000  0.0000  -0.01
Ir  0.0000  0.0000  0.5000  -1.11
Ir  0.5000  0.0000  0.0000  -1.11
Ir  0.0000  0.5000  0.0000  -1.11
Cr  0.5000  0.5000  0.5000  4.00

energy: -49.936 eV/atom
ΔH_f (0 K): 1198 kJ/mol of formula units

---

# 16
Density functional theory data (meta-GGA SCAN) for NiPOF2 at its PBEsol-relaxed geometry.

Unit cell a=3.4936 b=4.1413 c=4.1413 alpha=90.00 beta=90.00 gamma=90.00
Each line ends with the local moment (μB).
Sites, in units of the cell vectors:
P  0.0000  0.0000  0.0000  0.01
F  0.0000  0.0000  0.5000  0.00
Ni  0.5000  0.5000  0.5000  1.02
F  0.0000  0.5000  0.0000  0.00
O  0.5000  0.0000  0.0000  0.00

energy: -8.610 eV/atom
formation energy without anion corrections: -3.2 eV per formula unit

---

# 17
Density functional theory data (meta-GGA SCAN) for ZnGaCoF2 at its PBEsol-relaxed geometry.

Unit cell a=3.7843 b=3.7843 c=5.0990 alpha=90.00 beta=90.00 gamma=90.00
Each line ends with the local moment (μB).
Sites, in units of the cell vectors:
F  0.0000  0.5000  0.0000  0.06
Zn  0.0000  0.0000  0.5000  -0.04
F  0.5000  0.0000  0.0000  0.06
Co  0.0000  0.0000  0.0000  2.11
Ga  0.5000  0.5000  0.5000  0.01

energy: -11.722 eV/atom
formation energy without anion corrections: -4.4 eV per formula unit

---

# 18
Density functional theory data (meta-GGA SCAN) for ScFe2Pt2 at its PBEsol-relaxed geometry.

Unit cell a=3.4276 b=3.4276 c=6.9794 alpha=104.21 beta=104.21 gamma=90.00
Each line ends with the local moment (μB).
Sites, in units of the cell vectors:
Pt  0.3974  0.3974  0.7948  0.15
Fe  0.7500  0.2500  0.5000  3.01
Fe  0.2500  0.7500  0.5000  3.01
Sc  0.0000  0.0000  0.0000  -0.04
Pt  0.6026  0.6026  0.2052  0.15

energy: -38.766 eV/atom
ΔH_f (0 K): -284 kJ/mol of formula units

---

# 19
Density functional theory data (meta-GGA SCAN) for Hf2ScAlN at its PBEsol-relaxed geometry.

Unit cell a=4.7895 b=4.7895 c=4.8652 alpha=90.00 beta=90.00 gamma=90.00
Each line ends with the local moment (μB).
Sites, in units of the cell vectors:
Al  0.0000  0.0000  0.5000  0.00
Hf  0.0000  0.5000  0.0000  -0.11
Sc  0.0000  0.0000  0.0000  0.05
Hf  0.5000  0.0000  0.0000  -0.11
N  0.5000  0.5000  0.5000  1.17

energy: -29.096 eV/atom
formation energy without anion corrections: 11.1 eV per formula unit

---

# 20
Density functional theory data (meta-GGA SCAN) for Si4NiO10 at its PBEsol-relaxed geometry.

Unit cell a=7.2313 b=7.2313 c=15.3752 alpha=90.00 beta=90.00 gamma=90.00
Each line ends with the local moment (μB).
Sites, in units of the cell vectors:
O  0.2285  0.4153  0.6572  0.19
O  0.5847  0.7715  0.3428  0.19
O  0.4153  0.7715  0.8427  0.19
Si  0.1780  0.7462  0.3976  0.00
O  0.2458  0.0410  0.6249  0.01
O  0.7715  0.4153  0.1573  0.19
O  0.7549  0.0411  0.1245  0.01
O  0.4590  0.2542  0.1249  0.01
Si  0.8220  0.7461  0.8976  0.00
O  0.5847  0.2285  0.8427  0.19
O  0.0847  0.2715  0.1572  0.19
O  0.4589  0.7451  0.6245  0.01
O  0.2715  0.9153  0.3427  0.19
Ni  0.0000  0.5000  0.1624  0.99
Si  0.7539  0.6780  0.3976  0.00
O  0.7285  0.9153  0.8428  0.19
O  0.2542  0.4590  0.8751  0.01
O  0.2285  0.5847  0.1573  0.19
O  0.2887  0.7113  0.0000  0.03
Si  0.2539  0.1780  0.1024  0.00
Ni  0.5000  0.0000  0.3376  0.99
O  0.5410  0.7458  0.1249  0.01
Si  0.6780  0.7539  0.6024  0.00
O  0.0411  0.7549  0.8755  0.01
O  0.9589  0.2451  0.8755  0.01
O  0.9590  0.7542  0.3751  0.01
O  0.2549  0.5411  0.3755  0.01
Si  0.3220  0.7538  0.1024  0.00
O  0.7715  0.5847  0.6572  0.19
O  0.7121  0.7121  0.5000  0.03
O  0.9153  0.2715  0.6573  0.19
O  0.2451  0.9589  0.1245  0.01
Si  0.2538  0.8220  0.6024  0.00
O  0.7285  0.0847  0.3427  0.19
O  0.7113  0.2887  0.0000  0.03
O  0.4153  0.2285  0.3428  0.19
O  0.2715  0.0847  0.8428  0.19
O  0.0847  0.7285  0.6573  0.19
Ni  0.0000  0.5000  0.6624  0.99
Si  0.2462  0.6780  0.8976  0.00
O  0.9153  0.7285  0.1572  0.19
Si  0.1780  0.2539  0.8976  0.00
O  0.7542  0.9590  0.6249  0.01
Si  0.6780  0.2462  0.1024  0.00
O  0.7458  0.5410  0.8751  0.01
Ni  0.5000  0.0000  0.8376  0.99
O  0.5411  0.2549  0.6245  0.01
Si  0.8220  0.2538  0.3976  0.00
O  0.2879  0.2879  0.5000  0.03
Si  0.7461  0.8220  0.1024  0.00
Si  0.7538  0.3220  0.8976  0.00
O  0.2121  0.2121  0.0000  0.03
Si  0.7462  0.1780  0.6024  0.00
O  0.0410  0.2458  0.3751  0.01
O  0.7887  0.2113  0.5000  0.03
Si  0.3220  0.2461  0.6024  0.00
O  0.2113  0.7887  0.5000  0.03
O  0.7879  0.7879  0.0000  0.03
Si  0.2461  0.3220  0.3976  0.00
O  0.7451  0.4589  0.3755  0.01

energy: -10.323 eV/atom
formation energy without anion corrections: -36.3 eV per formula unit

---

# 21
Density functional theory data (meta-GGA SCAN) for ZnGeO2 at its PBEsol-relaxed geometry.

Unit cell a=3.0217 b=3.0217 c=6.1281 alpha=75.73 beta=75.73 gamma=60.00
Sites, in units of the cell vectors:
O  0.8961  0.8961  0.3116
O  0.1039  0.1039  0.6884
Ge  0.0000  0.0000  0.0000
Zn  0.5000  0.5000  0.5000

energy: -12.359 eV/atom
formation energy without anion corrections: -4.4 eV per formula unit

---

# 22
Density functional theory data (meta-GGA SCAN) for HgIr2Au at its PBEsol-relaxed geometry.

Unit cell a=2.8206 b=2.8206 c=9.5051 alpha=81.47 beta=81.47 gamma=60.00
Sites, in units of the cell vectors:
Au  0.4953  0.4953  0.5140
Hg  0.2529  0.2529  0.2414
Ir  0.7459  0.7459  0.7624
Ir  0.0059  0.0059  0.9822

energy: -69.543 eV/atom
ΔH_f (0 K): 130 kJ/mol of formula units

---

# 23
Density functional theory data (meta-GGA SCAN) for TaInRu at its PBEsol-relaxed geometry.

Unit cell a=3.0667 b=3.0667 c=5.8607 alpha=105.17 beta=105.17 gamma=90.00
Sites, in units of the cell vectors:
In  0.0074  0.0074  0.0148
Ru  0.6788  0.6788  0.3577
Ta  0.3138  0.3138  0.6276

energy: -45.093 eV/atom
ΔH_f (0 K): -47 kJ/mol of formula units

---

# 24
Density functional theory data (meta-GGA SCAN) for CuRh2W at its PBEsol-relaxed geometry.

Unit cell a=2.7420 b=3.6180 c=5.4550 alpha=90.00 beta=90.00 gamma=90.00
Sites, in units of the cell vectors:
Rh  0.0000  0.0000  0.2566
W  0.5000  0.5000  0.0000
Cu  0.5000  0.5000  0.5000
Rh  0.0000  0.0000  0.7434

energy: -38.263 eV/atom
offset from the most stable computed form: 26 meV/atom
ΔH_f (0 K): -60 kJ/mol of formula units

---

# 25
Density functional theory data (meta-GGA SCAN) for NbTeIO2 at its PBEsol-relaxed geometry.

Unit cell a=4.0760 b=4.0760 c=6.3752 alpha=90.00 beta=90.00 gamma=90.00
Each line ends with the local moment (μB).
Sites, in units of the cell vectors:
O  0.0000  0.5000  0.0000  0.04
I  0.0000  0.0000  0.5000  -0.04
Nb  0.5000  0.5000  0.5000  2.65
O  0.5000  0.0000  0.0000  0.04
Te  0.0000  0.0000  0.0000  0.06

energy: -23.717 eV/atom
formation energy without anion corrections: 1.0 eV per formula unit

---

# 26
Density functional theory data (meta-GGA SCAN) for LiMg2Fe at its PBEsol-relaxed geometry.

Unit cell a=2.8841 b=2.8841 c=9.5898 alpha=81.35 beta=81.35 gamma=60.00
Each line ends with the local moment (μB).
Sites, in units of the cell vectors:
Fe  0.5000  0.5000  0.5000  2.87
Li  0.0000  0.0000  0.0000  -0.02
Mg  0.7571  0.7571  0.7287  -0.02
Mg  0.2429  0.2429  0.2713  -0.02

energy: -7.443 eV/atom
ΔH_f (0 K): 67 kJ/mol of formula units